K5Na3Nb5W3O24 | PBE+U | relaxed

Structure (POSCAR):
```
K5Na3Nb5W3O24
1.0
8.052 0.000 0.000
0.012 8.083 0.000
0.006 0.002 8.084
K Na Nb W O
5 3 5 3 24
Cartesian
0.000 0.000 0.000
8.053 0.017 4.033
0.010 4.062 0.005
4.021 0.001 0.005
4.032 0.015 4.025
0.031 4.089 4.127
4.063 4.090 4.139
4.058 4.103 0.196
2.076 6.055 2.076
6.022 1.993 6.116
6.030 2.131 2.095
6.038 5.993 6.107
6.100 6.136 2.078
2.010 2.040 1.990
2.013 2.049 6.024
2.027 6.065 6.078
0.061 2.050 6.013
2.011 2.057 3.941
2.018 4.056 5.970
2.018 6.055 4.042
2.016 8.061 1.991
2.021 0.016 6.031
2.023 2.059 0.023
2.029 4.080 2.001
2.039 6.042 7.985
3.972 2.070 6.007
4.017 6.037 1.955
4.042 2.060 1.971
4.048 6.035 5.975
6.000 4.061 1.940
6.014 6.039 8.013
6.023 2.065 8.006
6.028 6.036 3.977
6.031 0.047 5.997
6.031 2.080 4.004
6.038 8.077 1.965
6.049 4.033 5.954
8.022 2.054 1.986
8.040 6.051 5.985
8.050 6.045 1.971
```

## Properties
DFT total energy	-7.29	eV/atom